Material: SiWO2F
Method: DFT, GGA+U
State: relaxed

a = 3.4054 Å, b = 3.4054 Å, c = 6.0252 Å
α = 90.00°, β = 90.00°, γ = 90.00°
Space group P4/mmm (No. 123)
Symmetry-distinct sites (fractional):
Si 0.0000 0.0000 0.0000 x1
W 0.5000 0.5000 0.5000 x1
O 0.0000 0.5000 0.0000 x2
F 0.0000 0.0000 0.5000 x1

Total moment, μB per atom: 0.8358
Electronic total energy, eV/f.u.: -29.35